Computed, not measured: a relaxed CePr5Tl6 crystal at the PBE level of DFT.

Cell: 5.1810 10.3355 9.3386 Å, 56.40 73.94 60.00°
With the nearest neighbours (Å) after each atom.
Fractional coordinates of all 12 atoms:
Tl  0.2503  0.2496  0.0000  6 Pr 3.40-3.44, 2 Ce 3.42, 4 Tl 3.66
Tl  0.7501  0.0835  0.3327  7 Pr 3.42-3.46, 1 Ce 3.42, 4 Tl 3.66-3.67
Tl  0.7497  0.7504  0.0000  6 Pr 3.40-3.44, 2 Ce 3.42, 4 Tl 3.66
Tl  0.7501  0.4162  0.6673  7 Pr 3.42-3.46, 1 Ce 3.42, 4 Tl 3.66-3.67
Tl  0.2499  0.5838  0.3327  7 Pr 3.42-3.46, 1 Ce 3.42, 4 Tl 3.66-3.67
Tl  0.2499  0.9165  0.6673  7 Pr 3.42-3.46, 1 Ce 3.42, 4 Tl 3.66-3.67
Pr  0.0000  0.3325  0.3349  8 Tl 3.42-3.44, 4 Pr 3.67-3.68
Pr  0.5000  0.1644  0.6712  8 Tl 3.40-3.46, 2 Ce 3.64, 2 Pr 3.68
Pr  0.5000  0.8356  0.3288  8 Tl 3.40-3.46, 2 Ce 3.64, 2 Pr 3.68
Pr  0.5000  0.5000  0.0000  8 Tl 3.42-3.43, 4 Pr 3.67
Pr  0.0000  0.6675  0.6651  8 Tl 3.42-3.44, 4 Pr 3.67-3.68
Ce  0.0000  0.0000  0.0000  8 Tl 3.42, 4 Pr 3.64

Properties
SG = C2/m, No. 12
E_form = -361 meV per atom
ρ = 9.53 g/cm3
magnetization = 0.10 μB/atom